# AcCeHo

Crystalline AcCeHo at its relaxed geometry (PBE-GGA, Alexandria).

```
AcCeHo
1.0
-1.8494 1.8494 7.6323
1.8494 -1.8494 7.6323
1.8494 1.8494 -7.6323
Ac Ce Ho
1 1 1
Direct
0.0000 0.0000 0.0000
0.3311 0.3311 0.0000
0.6796 0.6796 0.0000
```

E above lowest polymorph: 3.4 meV per atom
SG: I4mm
calculated formation energy: 36 kJ/mol of formula units
final energy: -14.24 eV per cell